No. 1
Computed, not measured: a relaxed structure of LiFeBW at the PBE level of DFT.

abc: 3.8810 3.8810 3.8810
angles: 60.00 60.00 60.00
Last column: nearest neighbours and their distance in Å.
Fractional positions:
B (0.0000, 0.0000, 0.0000)  4 Li 2.38, 4 Fe 2.38
Fe (0.7500, 0.7500, 0.7500)  4 W 2.38, 4 B 2.38
Li (0.2500, 0.2500, 0.2500)  4 B 2.38, 4 W 2.38
W (0.5000, 0.5000, 0.5000)  4 Fe 2.38, 4 Li 2.38

Computed properties:
polymorph energy (0 for the lowest one): 0.000 eV per formula unit

=====

No. 2
Computed, not measured: a relaxed structure of LiZrFeB at the PBE level of DFT.

abc: 4.0872 4.0872 4.0872
angles: 60.00 60.00 60.00
Last column: nearest neighbours and their distance in Å.
Fractional positions:
B (0.0000, 0.0000, 0.0000)  4 Zr 2.50, 4 Fe 2.50
Fe (0.7500, 0.7500, 0.7500)  4 Li 2.50, 4 B 2.50
Li (0.5000, 0.5000, 0.5000)  4 Fe 2.50, 4 Zr 2.50
Zr (0.2500, 0.2500, 0.2500)  4 Li 2.50, 4 B 2.50

Computed properties:
polymorph energy (0 for the lowest one): 0.000 eV per formula unit

=====

No. 3
Computed, not measured: a relaxed structure of LiZrFeB at the PBE level of DFT.

abc: 4.0633 4.0633 4.0633
angles: 60.00 60.00 60.00
Last column: nearest neighbours and their distance in Å.
Fractional positions:
B (0.0000, 0.0000, 0.0000)  4 Li 2.49, 4 Fe 2.49
Fe (0.7500, 0.7500, 0.7500)  4 Zr 2.49, 4 B 2.49
Li (0.2500, 0.2500, 0.2500)  4 Zr 2.49, 4 B 2.49
Zr (0.5000, 0.5000, 0.5000)  4 Li 2.49, 4 Fe 2.49

Computed properties:
polymorph energy (0 for the lowest one): 0.783 eV per formula unit

=====

No. 4
Computed, not measured: a relaxed structure of LuFeB at the PBE level of DFT.

abc: 3.9678 3.9678 3.9678
angles: 60.00 60.00 60.00
Last column: nearest neighbours and their distance in Å.
Fractional positions:
B (0.2500, 0.2500, 0.2500)  4 Fe 2.43
Fe (0.0000, 0.0000, 0.0000)  4 B 2.43, 4 Lu 2.43
Lu (0.7500, 0.7500, 0.7500)  4 Fe 2.43

Computed properties:
polymorph energy (0 for the lowest one): 0.000 eV per formula unit

=====

No. 5
Computed, not measured: a relaxed structure of LuFe4B at the PBE level of DFT.

abc: 5.0083 5.0083 7.0042
angles: 90.00 90.00 120.00
Last column: nearest neighbours and their distance in Å.
Fractional positions:
B (0.6667, 0.3333, 0.5000)  6 Fe 2.08
B (0.3333, 0.6667, 0.5000)  6 Fe 2.08
Fe (0.6667, 0.3333, 0.0000)  6 Fe 2.47
Fe (0.3333, 0.6667, 0.0000)  6 Fe 2.47
Fe (0.5000, 0.0000, 0.2865)  2 B 2.08
Fe (0.0000, 0.5000, 0.2865)  2 B 2.08
Fe (0.5000, 0.5000, 0.2865)  2 B 2.08
Fe (0.5000, 0.0000, 0.7135)  2 B 2.08
Fe (0.0000, 0.5000, 0.7135)  2 B 2.08
Fe (0.5000, 0.5000, 0.7135)  2 B 2.08
Lu (0.0000, 0.0000, 0.0000)  18 Fe 2.89-3.21
Lu (0.0000, 0.0000, 0.5000)  6 B 2.89, 12 Fe 2.92

Computed properties:
electronic total energy: -7.67 eV/atom

=====

No. 6
Computed, not measured: a relaxed structure of Lu2Fe14B at the PBE level of DFT.

abc: 8.6816 8.6816 11.7713
angles: 90.00 90.00 90.00
Last column: nearest neighbours and their distance in Å.
Fractional positions:
B (0.6250, 0.3750, 0.0000)  6 Fe 2.04-2.06
B (0.3750, 0.6250, 0.0000)  6 Fe 2.04-2.06
B (0.1250, 0.1250, 0.5000)  6 Fe 2.04-2.06
B (0.8750, 0.8750, 0.5000)  6 Fe 2.04-2.06
Fe (0.5000, 0.0000, 0.0000)  8 Fe 2.41-2.52
Fe (0.0000, 0.5000, 0.0000)  8 Fe 2.41-2.52
Fe (0.5000, 0.5000, 0.1168)  2 B 2.06
Fe (0.5661, 0.2244, 0.1262)  1 B 2.04
Fe (0.7756, 0.4339, 0.1262)  1 B 2.04
Fe (0.2244, 0.5661, 0.1262)  1 B 2.04
Fe (0.4339, 0.7756, 0.1262)  1 B 2.04
Fe (0.3580, 0.0376, 0.1736)  10 Fe 2.34-2.62
Fe (0.0376, 0.3580, 0.1736)  10 Fe 2.34-2.62
Fe (0.9624, 0.6420, 0.1736)  10 Fe 2.34-2.62
Fe (0.6420, 0.9624, 0.1736)  10 Fe 2.34-2.62
Fe (0.0969, 0.0969, 0.1976)  6 Fe 2.34-2.60
Fe (0.9031, 0.9031, 0.1976)  6 Fe 2.34-2.60
Fe (0.3171, 0.3171, 0.2461)  12 Fe 2.60-2.76
Fe (0.6829, 0.6829, 0.2461)  12 Fe 2.60-2.76
Fe (0.8171, 0.1829, 0.2539)  12 Fe 2.60-2.76
Fe (0.1829, 0.8171, 0.2539)  12 Fe 2.60-2.76
Fe (0.5969, 0.4031, 0.3024)  6 Fe 2.34-2.60
Fe (0.4031, 0.5969, 0.3024)  6 Fe 2.34-2.60
Fe (0.5376, 0.1420, 0.3264)  10 Fe 2.34-2.62
Fe (0.8580, 0.4624, 0.3264)  10 Fe 2.34-2.62
Fe (0.1420, 0.5376, 0.3264)  10 Fe 2.34-2.62
Fe (0.4624, 0.8580, 0.3264)  10 Fe 2.34-2.62
Fe (0.2756, 0.0661, 0.3738)  1 B 2.04
Fe (0.0661, 0.2756, 0.3738)  1 B 2.04
Fe (0.9339, 0.7244, 0.3738)  1 B 2.04
Fe (0.7244, 0.9339, 0.3738)  1 B 2.04
Fe (0.0000, 0.0000, 0.3832)  2 B 2.06
Fe (0.5000, 0.0000, 0.5000)  8 Fe 2.41-2.52
Fe (0.0000, 0.5000, 0.5000)  8 Fe 2.41-2.52
Fe (0.0000, 0.0000, 0.6168)  2 B 2.06
Fe (0.2756, 0.0661, 0.6262)  1 B 2.04
Fe (0.0661, 0.2756, 0.6262)  1 B 2.04
Fe (0.9339, 0.7244, 0.6262)  1 B 2.04
Fe (0.7244, 0.9339, 0.6262)  1 B 2.04
Fe (0.5376, 0.1420, 0.6736)  10 Fe 2.34-2.62
Fe (0.8580, 0.4624, 0.6736)  10 Fe 2.34-2.62
Fe (0.1420, 0.5376, 0.6736)  10 Fe 2.34-2.62
Fe (0.4624, 0.8580, 0.6736)  10 Fe 2.34-2.62
Fe (0.5969, 0.4031, 0.6976)  6 Fe 2.34-2.60
Fe (0.4031, 0.5969, 0.6976)  6 Fe 2.34-2.60
Fe (0.8171, 0.1829, 0.7461)  12 Fe 2.60-2.76
Fe (0.1829, 0.8171, 0.7461)  12 Fe 2.60-2.76
Fe (0.3171, 0.3171, 0.7539)  12 Fe 2.60-2.76
Fe (0.6829, 0.6829, 0.7539)  12 Fe 2.60-2.76
Fe (0.0969, 0.0969, 0.8024)  6 Fe 2.34-2.60
Fe (0.9031, 0.9031, 0.8024)  6 Fe 2.34-2.60
Fe (0.3580, 0.0376, 0.8264)  10 Fe 2.34-2.62
Fe (0.0376, 0.3580, 0.8264)  10 Fe 2.34-2.62
Fe (0.9624, 0.6420, 0.8264)  10 Fe 2.34-2.62
Fe (0.6420, 0.9624, 0.8264)  10 Fe 2.34-2.62
Fe (0.5661, 0.2244, 0.8738)  1 B 2.04
Fe (0.7756, 0.4339, 0.8738)  1 B 2.04
Fe (0.2244, 0.5661, 0.8738)  1 B 2.04
Fe (0.4339, 0.7756, 0.8738)  1 B 2.04
Fe (0.5000, 0.5000, 0.8832)  2 B 2.06
Lu (0.8566, 0.1434, 0.0000)  1 B 2.84, 14 Fe 3.01-3.18
Lu (0.2673, 0.2673, 0.0000)  16 Fe 2.96-3.17, 2 B 3.24
Lu (0.7327, 0.7327, 0.0000)  16 Fe 2.96-3.17, 2 B 3.24
Lu (0.1434, 0.8566, 0.0000)  1 B 2.84, 14 Fe 3.01-3.18
Lu (0.7673, 0.2327, 0.5000)  16 Fe 2.96-3.17, 2 B 3.24
Lu (0.3566, 0.3566, 0.5000)  1 B 2.84, 14 Fe 3.01-3.18
Lu (0.6434, 0.6434, 0.5000)  1 B 2.84, 14 Fe 3.01-3.18
Lu (0.2327, 0.7673, 0.5000)  16 Fe 2.96-3.17, 2 B 3.24

Computed properties:
electronic total energy: -7.89 eV/atom

=====

Number 1: magnetization 0.00 μB per formula unit. Number 2: magnetization 1.89 μB per formula unit. Number 3: magnetization 1.48 μB per formula unit. Number 4: magnetization 0.05 μB per formula unit. Number 5: magnetization 7.53 μB per formula unit. Number 6: magnetization 30.65 μB per formula unit.